The following is a GGA-PBEsol calculation of TlIn2Hg after structural relaxation, from Alexandria.

```
4
Lattice="-1.953 -2.705 0.530 1.396 -0.410 3.049 -6.242 5.204 3.558" Properties=species:S:1:pos:R:3 pbc="T T T"
In -6.184 5.156 3.525
Hg -5.024 2.399 4.495
Tl -3.173 2.646 1.809
In -1.779 -0.307 2.645
```

Computed properties:
Calculated formation energy ... 0.001 eV/atom
Uncorrected energy ... -9.2 eV/f.u.
Total magnetic moment ... 0.0 μB per formula unit
DOS(E_F) ... 1.8 states/eV per cell
Theoretical density ... 10.41 g cm⁻³